VASP calculation (GGA-PBE) on a geometry-optimized CdSiW structure.

Its distance to the lowest polymorph of the same formula is 0.000 eV/atom. As for the uncorrected formation energy: 396.9 meV/atom.

The space group is I4mm (No. 107) and the conventional cell measures 3.2588, 3.2588 and 10.0118 Å, with angles of 90.00, 90.00 and 90.00 degrees. The inequivalent atoms are Cd at (0.0000, 0.0000, 0.0000), Si at (0.0000, 0.0000, 0.2928) and W at (0.0000, 0.0000, 0.6996).

---

VASP calculation (GGA-PBE) on a geometry-optimized NaGaP2O6 structure.

As for the uncorrected formation energy: -1934.3 meV/atom.

The space group is C2/c (No. 15) and the conventional cell measures 10.6846, 10.1645 and 4.9892 Å, with angles of 90.00, 98.76 and 90.00 degrees. The inequivalent atoms are Na at (0.0000, 0.1060, 0.2500), Ga at (0.0000, 0.2941, 0.7500), P at (0.2294, 0.4125, 0.2694), O at (0.1278, 0.0888, 0.6871), O at (0.1538, 0.2888, 0.2171) and O at (0.1786, 0.4847, 0.5240).

---

VASP calculation (GGA-PBE) on a geometry-optimized InRe2NiAs structure.

The value obtained for the formation enthalpy at 0 K is 1389 meV/atom.

The space group is P4/mmm (No. 123) and the conventional cell measures 4.7158, 4.7158 and 4.1918 Å, with angles of 90.00, 90.00 and 90.00 degrees. The inequivalent atoms are In at (0.0000, 0.0000, 0.0000), Re at (0.0000, 0.5000, 0.5000), Ni at (0.5000, 0.5000, 0.5000) and As at (0.5000, 0.5000, 0.0000).

---

VASP calculation (GGA-PBE) on a geometry-optimized CaYSc4S8 structure.

As for the uncorrected formation energy: -1887.1 meV/atom.

The space group is R3m (No. 160, hexagonal axes) and the conventional cell measures 7.7244, 7.7244 and 19.3627 Å, with angles of 90.00, 90.00 and 120.00 degrees. The inequivalent atoms are Ca at (0.0000, 0.0000, 0.0000), Y at (0.0000, 0.0000, 0.6299), Sc at (0.0000, 0.0000, 0.2549), Sc at (0.1690, 0.3380, 0.4610), S at (0.0000, 0.0000, 0.3860), S at (0.0000, 0.0000, 0.8635), S at (0.0277, 0.5138, 0.3874) and S at (0.1726, 0.3452, 0.2063).